Computed, not measured: an optimized crystal structure of ThZnPt at the GGA-PBE level of DFT.

It has space group P2_1/m (No. 11), with a = 4.806 Å, b = 5.532 Å, c = 5.722 Å, α = 90.00°, β = 114.80° and γ = 90.00°. The distinct sites, in fractional coordinates, are Th at (0.146, 0.250, 0.288), Zn at (0.444, 0.250, 0.884) and Pt at (0.160, 0.750, 0.324).

For the calculated formation energy, the calculation gives -0.75 eV/atom. The calculation puts the magnetization at 0.0 μB/f.u. The calculation puts the mass density at 11.8 g cm⁻³.